1.
Below is Ce3GeH after structural relaxation, with properties calculated at the PBE-GGA level.

Calculated values
* offset from the most stable computed form: 0 meV per atom
* volume: 103.8 Å³/f.u.
* magnetic moment: 2.4 Bohr magnetons per cell
* DOS(E_F): 2.16 states/eV/atom

a b c (Å): 4.6996 4.6996 4.6996
angles (deg): 90.00 90.00 90.00
Fractional coordinates of all 5 atoms:
Ce 0.0000 0.5000 0.0000
Ce 0.0000 0.0000 0.5000
Ce 0.5000 0.0000 0.0000
H 0.0000 0.0000 0.0000
Ge 0.5000 0.5000 0.5000

***

2.
Below is Ce2GeH after structural relaxation, with properties calculated at the PBE-GGA level.

Calculated values
* offset from the most stable computed form: 163 meV per atom
* volume: 77.2 Å³/f.u.
* magnetic moment: 4.5 Bohr magnetons per cell
* DOS(E_F): 2.05 states/eV/atom

a b c (Å): 5.5895 5.5895 8.5638
angles (deg): 90.00 90.00 120.00
Fractional coordinates of all 12 atoms:
Ce 0.8481 0.6756 0.3094
Ce 0.1725 0.3244 0.3573
Ce 0.6756 0.8481 0.6906
Ce 0.1519 0.8275 0.0239
Ce 0.3244 0.1725 0.6427
Ce 0.8275 0.1519 0.9761
H 0.4465 0.0000 0.8333
H 0.0000 0.4465 0.1667
H 0.5535 0.5535 0.5000
Ge 0.5089 0.0000 0.3333
Ge 0.0000 0.5089 0.6667
Ge 0.4911 0.4911 0.0000

***

Question: Which value of volume does entry 1 give?
Answer: 103.8 Å³/f.u.

***

Question: What is the magnetic moment in the second record?
Answer: 4.5 Bohr magnetons per cell